Entry 1:
Entry from the Alexandria database: a relaxed structure of La3GaPd8Pb2 (PBE-GGA).

It has space group P-3m1 (No. 164), with a = 5.6115 Å, b = 5.6115 Å, c = 10.8414 Å, α = 90.00°, β = 90.00° and γ = 120.00°. Symmetry generates all atoms from La at (0.0000, 0.0000, 0.0000), La at (0.3333, 0.6667, 0.5830), Ga at (0.0000, 0.0000, 0.5000), Pd at (0.1645, 0.3290, 0.3094), Pd at (0.3333, 0.6667, 0.8479) and Pb at (0.3333, 0.6667, 0.1032).

Its magnetic moment is 0.0 μB/cell. The uncorrected energy is -5.406 eV/atom.

Entry 2:
Entry from the Alexandria database: a relaxed structure of HgTeSN2 (PBE-GGA).

It has space group P4/mmm (No. 123), with a = 3.8001 Å, b = 3.8001 Å, c = 7.2968 Å, α = 90.00°, β = 90.00° and γ = 90.00°. Symmetry generates all atoms from Hg at (0.0000, 0.0000, 0.0000), Te at (0.5000, 0.5000, 0.0000), S at (0.5000, 0.5000, 0.5000) and N at (0.0000, 0.5000, 0.5000).

The formation energy (no corrections) is 1.6484 eV per atom. Its magnetic moment is 0.6 μB/cell. The uncorrected energy is -3.196 eV/atom.

Entry 3:
Entry from the Alexandria database: a relaxed structure of KSb12Pd4 (PBE-GGA).

It has space group Im-3 (No. 204), with a = 9.6332 Å, b = 9.6332 Å, c = 9.6332 Å, α = 90.00°, β = 90.00° and γ = 90.00°. Symmetry generates all atoms from K at (0.0000, 0.0000, 0.0000), Sb at (0.0000, 0.3476, 0.1564) and Pd at (0.2500, 0.2500, 0.2500).

The formation energy (no corrections) is -0.2992 eV per atom. Its magnetic moment is 0.0 μB/cell. The uncorrected energy is -4.495 eV/atom.

Entry 4:
Entry from the Alexandria database: a relaxed structure of TaAs (PBE-GGA).

It has space group P2_13 (No. 198), with a = 5.1318 Å, b = 5.1318 Å, c = 5.1318 Å, α = 90.00°, β = 90.00° and γ = 90.00°. Symmetry generates all atoms from Ta at (0.1110, 0.1110, 0.1110) and As at (0.0943, 0.5943, 0.9057).

Its magnetic moment is 0.0 μB/cell. The uncorrected energy is -8.629 eV/atom.

Entry 5:
Entry from the Alexandria database: a relaxed structure of CuHgCl2 (PBE-GGA).

It has space group Pm (No. 6), with a = 5.2853 Å, b = 3.6060 Å, c = 5.9620 Å, α = 90.00°, β = 100.93° and γ = 90.00°. Symmetry generates all atoms from Cu at (0.0000, 0.0000, 0.0000), Hg at (0.2154, 0.5000, 0.7426), Cl at (0.0987, 0.5000, 0.2510) and Cl at (0.6343, 0.0000, 0.7400).

The formation energy (no corrections) is -0.3534 eV per atom. Its magnetic moment is 0.0 μB/cell. The uncorrected energy is -2.376 eV/atom.

Entry 6:
Entry from the Alexandria database: a relaxed structure of KTl2InSn (PBE-GGA).

It has space group I-4m2 (No. 119), with a = 4.9566 Å, b = 4.9566 Å, c = 13.7673 Å, α = 90.00°, β = 90.00° and γ = 90.00°. Symmetry generates all atoms from K at (0.0000, 0.0000, 0.0000), Tl at (0.0000, 0.0000, 0.3883), In at (0.0000, 0.5000, 0.2500) and Sn at (0.0000, 0.5000, 0.7500).

Its magnetic moment is 0.0 μB/cell. The uncorrected energy is -2.577 eV/atom.

Entry 7:
Entry from the Alexandria database: a relaxed structure of NbCr3Cu2S8 (PBE-GGA).

It has space group P2_1/c (No. 14), with a = 5.7739 Å, b = 12.1355 Å, c = 8.8713 Å, α = 90.00°, β = 129.33° and γ = 90.00°. Symmetry generates all atoms from Nb at (0.0000, 0.0000, 0.0000), Cr at (0.2234, 0.2480, 0.7289), Cr at (0.5000, 0.0000, 0.5000), Cu at (0.1602, 0.5832, 0.2669), S at (0.0106, 0.5872, 0.7617), S at (0.2613, 0.6726, 0.5223), S at (0.2648, 0.1690, 0.4924) and S at (0.4772, 0.0892, 0.2528).

The formation energy (no corrections) is -0.6059 eV per atom. Its magnetic moment is 16.5 μB/cell. The uncorrected energy is -6.331 eV/atom.

Entry 8:
Entry from the Alexandria database: a relaxed structure of MnBePd2 (PBE-GGA).

It has space group I-42d (No. 122), with a = 3.7029 Å, b = 3.7029 Å, c = 16.3187 Å, α = 90.00°, β = 90.00° and γ = 90.00°. Symmetry generates all atoms from Mn at (0.0000, 0.0000, 0.0000), Be at (0.0000, 0.0000, 0.5000) and Pd at (0.2453, 0.2500, 0.6250).

Its magnetic moment is 0.0 μB/cell. The uncorrected energy is -5.355 eV/atom.

Q: magnetic moment of number 8 (MnBePd2)?
A: 0.0 μB/cell